A plane-wave DFT calculation with PBE with a Hubbard U was carried out for LaCr3F after structural relaxation.

```
LaCr3F
1.0
-0.1376 3.7124 -4.6822
-5.9162 -0.7424 -0.4148
-0.8392 4.6251 3.6917
Cr La F
3 1 1
Cartesian
-2.9581 -0.3712 -0.2074
-0.0688 1.8562 -2.3411
-0.4196 2.3125 1.8459
0.0000 0.0000 0.0000
-3.4465 3.7975 -0.7026
```

Values from the calculation:
Final energy in Ry/atom: -0.332
Crystal system: cubic